The following is a DFT calculation (PBE) of a relaxed structure of Er5CSe4.

Cell and atoms, written as POSCAR:
```
Er5CSe4
1.0
-5.462 -0.315 -1.119
-2.913 -5.911 1.952
-4.025 2.335 5.058
Er Se C
5 4 1
direct
0.743 0.167 0.350 Er
0.910 0.350 0.833 Er
0.092 0.650 0.167 Er
0.501 0.000 0.000 Er
0.260 0.833 0.650 Er
0.592 0.602 0.215 Se
0.410 0.398 0.785 Se
0.808 0.785 0.602 Se
0.195 0.215 0.398 Se
0.001 0.000 0.000 C
```

Summary:
The calculation puts the distance to the lowest polymorph of the same formula at 0.0 meV per atom. As for the crystal system: tetragonal. As for the density of states at the Fermi level: 4.77 states/eV/cell. The value obtained for the formation energy without anion corrections is -15.04 eV/f.u.